(1)
A relaxed SrZrMo crystal, computed with PBE-GGA.

extended XYZ file:
```
3
Lattice="-4.133 0.424 -2.992 -0.506 -1.512 4.866 -0.342 3.004 0.898" Properties=species:S:1:pos:R:3 pbc="T T T"
Sr -3.038 0.777 -0.075
Zr -1.997 1.611 2.987
Mo -0.288 2.532 0.757
```

Computed properties:
**Energy of formation from the pure elements**: 0.8034 eV per atom
**E_tot**: -6.217 eV/atom
**Space group**: P3m1 (156)
**N(E_F)**: 1.376 states/eV/f.u.
**E above lowest polymorph**: 530 meV per atom

=====

(2)
A relaxed Sr2ZrMo crystal, computed with PBE-GGA.

extended XYZ file:
```
4
Lattice="-0.134 -0.290 3.104 0.638 -3.043 -0.257 10.941 2.238 0.682" Properties=species:S:1:pos:R:3 pbc="T T T"
Zr 2.987 -1.107 1.594
Mo 8.458 0.012 1.935
Sr 5.732 1.173 0.357
Sr 10.679 2.184 0.665
```

Computed properties:
**Energy of formation from the pure elements**: 1.0117 eV per atom
**E_tot**: -4.674 eV/atom
**Space group**: P4/mmm (123)
**N(E_F)**: 5.187 states/eV/f.u.
**E above lowest polymorph**: 616 meV per atom

=====

(3)
A relaxed SrZrMo2 crystal, computed with PBE-GGA.

extended XYZ file:
```
4
Lattice="4.881 -0.008 0.000 0.024 4.881 0.000 -2.453 -2.437 3.446" Properties=species:S:1:pos:R:3 pbc="T T T"
Zr 2.441 -0.004 1.723
Mo 0.000 0.000 0.000
Mo 0.012 2.441 1.723
Sr 2.453 2.437 0.000
```

Computed properties:
**Energy of formation from the pure elements**: 0.8756 eV per atom
**E_tot**: -7.097 eV/atom
**Space group**: I-4m2 (119)
**N(E_F)**: 6.460 states/eV/f.u.
**E above lowest polymorph**: 477 meV per atom

=====

(4)
A relaxed SrZrMo2 crystal, computed with PBE-GGA.

extended XYZ file:
```
4
Lattice="-2.914 0.209 -3.318 -4.257 -1.048 -0.567 -2.551 6.736 1.831" Properties=species:S:1:pos:R:3 pbc="T T T"
Mo -7.366 5.029 -1.301
Mo -2.557 6.508 1.723
Zr -2.360 0.852 -0.763
Sr -4.850 3.193 -0.911
```

Computed properties:
**Energy of formation from the pure elements**: 0.6084 eV per atom
**E_tot**: -7.365 eV/atom
**Space group**: Cm (8)
**N(E_F)**: 3.851 states/eV/f.u.
**E above lowest polymorph**: 210 meV per atom

=====

(5)
A relaxed SrZr2Mo crystal, computed with PBE-GGA.

extended XYZ file:
```
4
Lattice="6.182 0.009 0.003 2.535 5.638 -0.003 -3.449 -4.227 2.907" Properties=species:S:1:pos:R:3 pbc="T T T"
Sr 1.722 2.117 1.452
Zr 4.761 3.084 0.000
Mo 3.546 -0.698 1.455
Zr 8.315 5.386 0.000
```

Computed properties:
**Energy of formation from the pure elements**: 0.4859 eV per atom
**E_tot**: -6.916 eV/atom
**Space group**: Immm (71)
**N(E_F)**: 5.864 states/eV/f.u.
**E above lowest polymorph**: 280 meV per atom

=====

(6)
A relaxed SrZr2Mo crystal, computed with PBE-GGA.

extended XYZ file:
```
4
Lattice="-9.167 -1.852 4.587 -7.315 -4.283 6.055 -7.309 -1.142 7.334" Properties=species:S:1:pos:R:3 pbc="T T T"
Zr -12.350 -3.778 9.332
Sr -17.844 -5.458 13.482
Mo -5.948 -1.819 4.494
Zr -23.337 -7.138 17.632
```

Computed properties:
**Energy of formation from the pure elements**: 0.4196 eV per atom
**E_tot**: -6.983 eV/atom
**Space group**: R-3m (166)
**N(E_F)**: 4.242 states/eV/f.u.
**E above lowest polymorph**: 213 meV per atom

=====

(7)
A relaxed Sr2ZrMo crystal, computed with PBE-GGA.

extended XYZ file:
```
4
Lattice="11.714 -0.022 -0.013 11.251 3.260 -0.013 11.251 1.586 2.848" Properties=species:S:1:pos:R:3 pbc="T T T"
Sr 16.853 2.376 1.390
Sr 0.255 0.036 0.021
Mo 25.662 3.618 2.117
Zr 8.554 1.206 0.706
```

Computed properties:
**Energy of formation from the pure elements**: 1.0774 eV per atom
**E_tot**: -4.608 eV/atom
**Space group**: R-3m (166)
**N(E_F)**: 6.090 states/eV/f.u.
**E above lowest polymorph**: 682 meV per atom

=====

(8)
A relaxed Sr2ZrMo crystal, computed with PBE-GGA.

extended XYZ file:
```
4
Lattice="-4.077 1.631 -0.241 -1.369 -3.710 -1.958 -1.164 -2.179 4.944" Properties=species:S:1:pos:R:3 pbc="T T T"
Sr -2.723 -1.039 -1.099
Sr 0.000 0.000 0.000
Zr -2.620 -0.274 2.351
Mo -1.267 -2.945 1.493
```

Computed properties:
**Energy of formation from the pure elements**: 0.9620 eV per atom
**E_tot**: -4.724 eV/atom
**Space group**: Pmmm (47)
**N(E_F)**: 7.598 states/eV/f.u.
**E above lowest polymorph**: 567 meV per atom